# 1
VASP calculation (GGA-PBE) on a relaxed structure of AcSbIr2.

POSCAR file:
```
AcSbIr2
1.0
-3.709 1.196 0.978
-0.455 -3.705 2.804
1.736 2.478 3.556
Sb Ac Ir
1 1 2
Direct
0.500 0.500 0.500
0.500 0.000 0.000
0.000 0.000 0.500
0.000 0.500 0.000
```

Calculated values
As for the total energy: -6.574 eV per atom. For the density of states at the Fermi level, the calculation gives 0.63 states/eV/atom.

=====

# 2
VASP calculation (GGA-PBE) on a relaxed structure of Ac2SbIr.

POSCAR file:
```
Ac2SbIr
1.0
4.922 0.000 0.000
2.461 4.262 0.000
2.461 1.421 9.003
Sb Ac Ir
1 2 1
Direct
0.500 0.500 0.500
0.097 0.097 0.708
0.903 0.903 0.292
0.000 0.000 0.000
```

Calculated values
As for the total energy: -5.146 eV per atom. For the density of states at the Fermi level, the calculation gives 1.04 states/eV/atom.